Entry 1:
Compound: RuRhW2
Source: the Alexandria database
Functional: SCAN
Structure: single point on PBEsol structure

Cell lengths 2.744, 3.844, 5.491 Å; angles 90.00, 90.00, 90.00 degrees
Fractional positions:
1 Ru 0.000 0.000 0.000
2 Rh 0.000 0.000 0.500
3 W 0.500 0.500 0.247
4 W 0.500 0.500 0.753

Excess energy over the best structure of this formula in the dataset (meV per atom): 17
DOS at the Fermi energy (states/eV per cell): 2.9
Energy of formation from the pure elements (eV per atom): -0.058
Mass density (g/cm³): 16.39
VASP energy (eV per atom): -52.052

Entry 2:
Compound: TcPt3Br
Source: the Alexandria database
Functional: SCAN
Structure: single point on PBEsol structure

Cell lengths 4.749, 4.749, 4.749 Å; angles 90.00, 90.00, 90.00 degrees
Fractional positions:
1 Tc 0.000 0.000 0.000
2 Pt 0.000 0.000 0.500
3 Pt 0.000 0.500 0.000
4 Pt 0.500 0.000 0.000
5 Br 0.500 0.500 0.500

Excess energy over the best structure of this formula in the dataset (meV per atom): 0
DOS at the Fermi energy (states/eV per cell): 4.6
ΔE_f (raw) (eV per atom): 1.365
Mass density (g/cm³): 11.83
VASP energy (eV per atom): -51.655

Entry 3:
Compound: K5Ag
Source: the Alexandria database
Functional: SCAN
Structure: single point on PBEsol structure

Cell lengths 7.941, 7.941, 10.963 Å; angles 114.16, 114.16, 31.77 degrees
Fractional positions:
1 K 0.000 0.000 0.000
2 K 0.047 0.047 0.390
3 K 0.380 0.380 0.618
4 K 0.712 0.712 0.844
5 K 0.760 0.760 0.235
6 Ag 0.380 0.380 0.117

Excess energy over the best structure of this formula in the dataset (meV per atom): 11
DOS at the Fermi energy (states/eV per cell): 3.5
Energy of formation from the pure elements (eV per atom): 0.060
Mass density (g/cm³): 1.53
VASP energy (eV per atom): -12.108

Entry 4:
Compound: ZnRh2Br
Source: the Alexandria database
Functional: SCAN
Structure: single point on PBEsol structure

Cell lengths 3.031, 3.031, 6.397 Å; angles 90.00, 90.00, 90.00 degrees
Fractional positions:
1 Zn 0.000 0.000 0.000
2 Rh 0.500 0.500 0.228
3 Rh 0.500 0.500 0.772
4 Br 0.000 0.000 0.500

Excess energy over the best structure of this formula in the dataset (meV per atom): 0
DOS at the Fermi energy (states/eV per cell): 4.4
ΔE_f (raw) (eV per atom): 0.255
Mass density (g/cm³): 9.92
VASP energy (eV per atom): -24.874

Entry 5:
Compound: TcAs3Os
Source: the Alexandria database
Functional: SCAN
Structure: single point on PBEsol structure

Cell lengths 4.645, 4.645, 4.645 Å; angles 90.00, 90.00, 90.00 degrees
Fractional positions:
1 Tc 0.000 0.000 0.000
2 As 0.000 0.000 0.500
3 As 0.000 0.500 0.000
4 As 0.500 0.000 0.000
5 Os 0.500 0.500 0.500

DOS at the Fermi energy (states/eV per cell): 6.9
Energy of formation from the pure elements (eV per atom): 1.414
Mass density (g/cm³): 8.50
VASP energy (eV per atom): -32.088

Entry 6:
Compound: Zr2TcP
Source: the Alexandria database
Functional: SCAN
Structure: single point on PBEsol structure

Cell lengths 4.550, 4.550, 3.307 Å; angles 90.00, 90.00, 102.84 degrees
Fractional positions:
1 Zr 0.000 0.500 0.000
2 Zr 0.500 0.000 0.000
3 Tc 0.000 0.000 0.500
4 P 0.500 0.500 0.500

DOS at the Fermi energy (states/eV per cell): 2.8
Energy of formation from the pure elements (eV per atom): -0.640
Mass density (g/cm³): 7.75
VASP energy (eV per atom): -27.354

Entry 7:
Compound: BePtOF2
Source: the Alexandria database
Functional: SCAN
Structure: single point on PBEsol structure

Cell lengths 4.289, 4.289, 3.785 Å; angles 90.00, 90.00, 90.00 degrees
Fractional positions:
1 Be 0.000 0.000 0.000
2 Pt 0.500 0.500 0.500
3 O 0.500 0.500 0.000
4 F 0.000 0.500 0.500
5 F 0.500 0.000 0.500

Excess energy over the best structure of this formula in the dataset (meV per atom): 1323
DOS at the Fermi energy (states/eV per cell): 1.2
ΔE_f (raw) (eV per atom): -0.158
Mass density (g/cm³): 6.15
VASP energy (eV per atom): -17.729

Entry 8:
Compound: CaTcP2
Source: the Alexandria database
Functional: SCAN
Structure: single point on PBEsol structure

Cell lengths 6.445, 6.445, 6.445 Å; angles 32.94, 32.94, 32.94 degrees
Fractional positions:
1 Ca 0.000 0.000 0.000
2 Tc 0.500 0.500 0.500
3 P 0.232 0.232 0.232
4 P 0.768 0.768 0.768

Excess energy over the best structure of this formula in the dataset (meV per atom): 33
DOS at the Fermi energy (states/eV per cell): 2.4
Energy of formation from the pure elements (eV per atom): -0.606
Mass density (g/cm³): 4.72
VASP energy (eV per atom): -16.986

Entry 9:
Compound: ScAsRu2
Source: the Alexandria database
Functional: SCAN
Structure: single point on PBEsol structure

Cell lengths 2.896, 4.206, 4.988 Å; angles 90.00, 94.33, 90.00 degrees
Fractional positions:
1 Sc 0.000 0.000 0.000
2 As 0.500 0.000 0.500
3 Ru 0.306 0.500 0.735
4 Ru 0.694 0.500 0.265

DOS at the Fermi energy (states/eV per cell): 2.4
Energy of formation from the pure elements (eV per atom): -0.283
Mass density (g/cm³): 8.83
VASP energy (eV per atom): -26.303

Entry 10:
Compound: K2NdF5
Source: the Alexandria database
Functional: SCAN
Structure: single point on PBEsol structure

Cell lengths 10.748, 7.475, 6.617 Å; angles 90.00, 90.00, 90.00 degrees
Fractional positions:
1 K 0.172 0.003 0.030
2 K 0.172 0.497 0.030
3 K 0.328 0.503 0.530
4 K 0.328 0.997 0.530
5 K 0.672 0.003 0.470
6 K 0.672 0.497 0.470
7 K 0.828 0.503 0.970
8 K 0.828 0.997 0.970
9 Nd 0.005 0.250 0.565
10 Nd 0.495 0.750 0.065
11 Nd 0.505 0.250 0.935
12 Nd 0.995 0.750 0.435
13 F 0.010 0.250 0.909
14 F 0.083 0.534 0.648
15 F 0.083 0.966 0.648
16 F 0.173 0.250 0.358
17 F 0.200 0.750 0.327
18 F 0.300 0.250 0.827
19 F 0.327 0.750 0.858
20 F 0.417 0.034 0.148
21 F 0.417 0.466 0.148
22 F 0.490 0.750 0.409
23 F 0.510 0.250 0.591
24 F 0.583 0.534 0.852
25 F 0.583 0.966 0.852
26 F 0.673 0.250 0.142
27 F 0.700 0.750 0.173
28 F 0.800 0.250 0.673
29 F 0.827 0.750 0.642
30 F 0.917 0.034 0.352
31 F 0.917 0.466 0.352
32 F 0.990 0.750 0.091

DOS at the Fermi energy (states/eV per cell): 0.0
ΔE_f (raw) (eV per atom): -3.685
Mass density (g/cm³): 3.97
VASP energy (eV per atom): -13.428

Entry 11:
Compound: Cs2ScBeSn
Source: the Alexandria database
Functional: SCAN
Structure: single point on PBEsol structure

Cell lengths 6.674, 6.674, 4.725 Å; angles 90.00, 90.00, 90.00 degrees
Fractional positions:
1 Cs 0.000 0.500 0.000
2 Cs 0.500 0.000 0.000
3 Sc 0.000 0.000 0.000
4 Be 0.000 0.000 0.500
5 Sn 0.500 0.500 0.500

DOS at the Fermi energy (states/eV per cell): 4.6
Energy of formation from the pure elements (eV per atom): 1.095
Mass density (g/cm³): 3.46
VASP energy (eV per atom): -24.932

Entry 12:
Compound: TaAlPt2
Source: the Alexandria database
Functional: SCAN
Structure: single point on PBEsol structure

Cell lengths 2.886, 2.886, 7.216 Å; angles 90.00, 90.00, 90.00 degrees
Fractional positions:
1 Ta 0.000 0.000 0.000
2 Al 0.000 0.000 0.500
3 Pt 0.500 0.500 0.274
4 Pt 0.500 0.500 0.726

DOS at the Fermi energy (states/eV per cell): 2.1
Energy of formation from the pure elements (eV per atom): -0.986
Mass density (g/cm³): 16.52
VASP energy (eV per atom): -54.666

Entry 13:
Compound: YAl3Br
Source: the Alexandria database
Functional: SCAN
Structure: single point on PBEsol structure

Cell lengths 5.015, 5.015, 5.015 Å; angles 90.00, 90.00, 90.00 degrees
Fractional positions:
1 Y 0.000 0.000 0.000
2 Al 0.000 0.500 0.500
3 Al 0.500 0.000 0.500
4 Al 0.500 0.500 0.000
5 Br 0.500 0.500 0.500

DOS at the Fermi energy (states/eV per cell): 2.2
ΔE_f (raw) (eV per atom): 0.533
Mass density (g/cm³): 3.29
VASP energy (eV per atom): -13.578

Entry 14:
Compound: Cr4CuBr
Source: the Alexandria database
Functional: SCAN
Structure: single point on PBEsol structure

Cell lengths 4.785, 4.785, 4.785 Å; angles 60.00, 60.00, 60.00 degrees
Fractional positions:
1 Cr 0.378 0.378 0.378
2 Cr 0.378 0.378 0.866
3 Cr 0.378 0.866 0.378
4 Cr 0.866 0.378 0.378
5 Cu 0.750 0.750 0.750
6 Br 0.000 0.000 0.000

DOS at the Fermi energy (states/eV per cell): 6.9
ΔE_f (raw) (eV per atom): 1.004
Mass density (g/cm³): 7.53
VASP energy (eV per atom): -17.029